1.
Below is an optimized crystal structure of AcPr2Dy8, with properties calculated at the PBE-GGA level.

Lattice parameters (Å, degrees): 5.559 8.297 16.258 90.00 90.00 90.00
Space group Immm (No. 71)
One atom of each set of equivalent atoms:
Ac 0.000 0.000 0.000 [2 per cell]
Pr 0.000 0.000 0.300 [4 per cell]
Dy 0.000 0.204 0.500 [4 per cell]
Dy 0.000 0.296 0.143 [8 per cell]
Dy 0.000 0.500 0.340 [4 per cell]

Results
As for the formation energy: 0.1335 eV/atom.

=====

2.
Below is an optimized crystal structure of OsPdSe2, with properties calculated at the PBE-GGA level.

Lattice parameters (Å, degrees): 6.361 6.361 6.361 90.00 90.00 90.00
Space group Fm-3m (No. 225)
One atom of each set of equivalent atoms:
Os 0.000 0.000 0.000 [4 per cell]
Pd 0.000 0.000 0.500 [4 per cell]
Se 0.250 0.250 0.250 [8 per cell]

Results
The calculation puts the uncorrected formation energy at 0.4104 eV/atom. The value obtained for the polymorph energy (0 for the lowest one) is 235 meV/atom.

=====

3.
Below is an optimized crystal structure of SiIrSe2Br, with properties calculated at the PBE-GGA level.

Lattice parameters (Å, degrees): 4.918 4.918 5.010 90.00 90.00 90.00
Space group P4/mmm (No. 123)
One atom of each set of equivalent atoms:
Si 0.000 0.000 0.000 [1 per cell]
Ir 0.500 0.500 0.500 [1 per cell]
Se 0.000 0.500 0.500 [2 per cell]
Br 0.500 0.500 0.000 [1 per cell]

Results
The calculation puts the uncorrected formation energy at 0.6718 eV/atom. The value obtained for the polymorph energy (0 for the lowest one) is 0 meV/atom.

=====

4.
Below is an optimized crystal structure of NpNb3Te6, with properties calculated at the PBE-GGA level.

Lattice parameters (Å, degrees): 11.860 3.901 12.026 90.00 110.26 90.00
Space group P2_1/m (No. 11)
One atom of each set of equivalent atoms:
Np 0.051 0.250 0.192 [2 per cell]
Nb 0.107 0.250 0.560 [2 per cell]
Nb 0.321 0.750 0.987 [2 per cell]
Nb 0.462 0.250 0.387 [2 per cell]
Te 0.108 0.750 0.398 [2 per cell]
Te 0.137 0.250 0.975 [2 per cell]
Te 0.188 0.750 0.743 [2 per cell]
Te 0.293 0.750 0.227 [2 per cell]
Te 0.363 0.250 0.568 [2 per cell]
Te 0.490 0.250 0.124 [2 per cell]

Results
The calculation puts the uncorrected formation energy at -0.3689 eV/atom.

=====

5.
Below is an optimized crystal structure of RbYScBr6, with properties calculated at the PBE-GGA level.

Lattice parameters (Å, degrees): 7.1289 7.1289 15.8552 90.00 90.00 120.00
Space group P-31c (No. 163)
One atom of each set of equivalent atoms:
Rb 0.0000 0.0000 0.0000 [2 per cell]
Y 0.3333 0.6667 0.2500 [2 per cell]
Sc 0.3333 0.6667 0.7500 [2 per cell]
Br 0.0084 0.3696 0.6473 [12 per cell]

Results
The calculation puts the uncorrected formation energy at -1.7218 eV/atom.

=====

6.
Below is an optimized crystal structure of Ca4P2I, with properties calculated at the PBE-GGA level.

Lattice parameters (Å, degrees): 8.790 8.795 12.435 90.00 90.00 90.00
Space group Imma (No. 74)
One atom of each set of equivalent atoms:
Ca 0.000 0.046 0.227 [8 per cell]
Ca 0.205 0.250 0.023 [8 per cell]
P 0.000 0.000 0.000 [4 per cell]
P 0.250 0.250 0.250 [4 per cell]
I 0.000 0.250 0.625 [4 per cell]

Results
The calculation puts the uncorrected formation energy at -1.0930 eV/atom.

=====

Number 1: M_tot 0.0 Bohr magnetons per cell. Number 2: M_tot 0.0 Bohr magnetons per cell. Number 3: M_tot 0.0 Bohr magnetons per cell. Number 4: M_tot 9.3 Bohr magnetons per cell. Number 5: M_tot 2.1 Bohr magnetons per cell. Number 6: M_tot 0.0 Bohr magnetons per cell.